Entry 1:
The following is a PBE calculation of a relaxed structure of Ac2Ge3Ir, from OQMD via LeMat-Bulk.

DFT total energy   -0.218 Ha/atom
M_tot   0.01 μB/cell

Geometry as POSCAR:
```
Ac2Ge3Ir
1.0
0.000 4.538 7.547
4.388 0.000 7.547
4.388 4.538 0.000
Ac Ge Ir
4 6 2
Cartesian
4.388 2.214 7.547 Ac
2.194 2.269 3.774 Ac
6.581 6.806 11.321 Ac
4.388 6.861 7.547 Ac
6.601 4.538 6.261 Ge
4.388 4.538 4.975 Ge
6.601 4.538 8.833 Ge
2.174 4.538 6.261 Ge
4.388 4.538 10.120 Ge
2.174 4.538 8.833 Ge
4.388 4.538 2.492 Ir
4.388 4.538 12.603 Ir
```



Entry 2:
The following is a PBE calculation of a relaxed structure of Zr2Al2CoNiIr2, from OQMD via LeMat-Bulk.

DFT total energy   -0.279 Ha/atom
M_tot   1.13 μB/cell

Geometry as POSCAR:
```
Zr2Al2CoNiIr2
1.0
4.427 0.000 0.000
0.000 4.427 0.000
0.000 0.000 6.264
Zr Al Co Ni Ir
2 2 1 1 2
Cartesian
0.000 2.214 1.566 Zr
2.214 0.000 4.698 Zr
0.000 2.214 4.698 Al
2.214 0.000 1.566 Al
0.000 0.000 3.132 Co
2.214 2.214 0.000 Ni
0.000 0.000 0.000 Ir
2.214 2.214 3.132 Ir
```



Entry 3:
The following is a PBE calculation of a relaxed structure of NaRePO, from OQMD via LeMat-Bulk.

DFT total energy   -0.225 Ha/atom
M_tot   0.21 μB/cell
Excess energy over the best structure of this formula in the dataset   0.4072 eV/atom

Geometry as POSCAR:
```
NaRePO
1.0
3.716 0.000 0.000
0.000 3.716 0.000
0.000 0.000 9.452
Na Re P O
2 2 2 2
Cartesian
0.929 0.929 1.280 Na
2.787 2.787 8.172 Na
0.929 2.787 4.726 Re
2.787 0.929 4.726 Re
0.929 0.929 6.340 P
2.787 2.787 3.112 P
0.929 2.787 0.000 O
2.787 0.929 0.000 O
```



Entry 4:
The following is a PBE calculation of a relaxed structure of SrAlGaAu2, from OQMD via LeMat-Bulk.

DFT total energy   -0.133 Ha/atom
Excess energy over the best structure of this formula in the dataset   0.0000 eV/atom

Geometry as POSCAR:
```
SrAlGaAu2
1.0
4.508 0.000 0.000
0.000 4.508 0.000
0.000 0.000 10.763
Sr Al Ga Au
2 2 2 4
Cartesian
1.127 1.127 2.657 Sr
3.381 3.381 8.106 Sr
1.127 3.381 5.382 Al
3.381 1.127 5.382 Al
1.127 1.127 9.366 Ga
3.381 3.381 1.397 Ga
1.127 1.127 6.735 Au
1.127 3.381 0.000 Au
3.381 1.127 0.000 Au
3.381 3.381 4.028 Au
```